Record 1
## Sm2DyNpP4 (PBE)

Data for an optimized crystal structure of Sm2DyNpP4.

Summary:
Raw total energy ... -0.5495 Ry/atom
Crystal system ... monoclinic
Fermi-level density of states ... 10.692 states/eV per cell

Structure (POSCAR):
```
Sm2DyNpP4
1.0
-0.314 3.899 -0.990
-3.000 1.325 6.172
6.939 0.712 0.600
Sm Dy Np P
2 1 1 4
direct
0.500 0.000 0.500 Sm
0.000 0.500 0.500 Sm
0.500 0.500 0.000 Dy
0.000 0.000 0.000 Np
0.500 0.243 0.239 P
0.500 0.757 0.761 P
0.000 0.249 0.760 P
0.000 0.751 0.240 P
```

Record 2
## La5Tb3Y (PBE)

Data for an optimized crystal structure of La5Tb3Y.

Summary:
Polymorph energy (0 for the lowest one) ... 0 meV per atom
Crystal system ... monoclinic
Fermi-level density of states ... 26.103 states/eV per cell

Structure (POSCAR):
```
La5Tb3Y
1.0
-6.357 -7.526 -5.055
-4.674 -3.227 -9.505
4.204 -8.694 -6.810
La Tb Y
10 6 2
direct
0.413 0.587 0.750 La
0.001 0.360 0.973 La
0.538 0.180 0.118 La
0.999 0.640 0.027 La
0.820 0.462 0.382 La
0.587 0.413 0.250 La
0.360 0.001 0.473 La
0.640 0.999 0.527 La
0.180 0.538 0.618 La
0.462 0.820 0.882 La
0.000 0.000 0.000 Tb
0.056 0.595 0.327 Tb
0.000 0.000 0.500 Tb
0.944 0.405 0.673 Tb
0.595 0.056 0.827 Tb
0.405 0.944 0.173 Tb
0.899 0.101 0.750 Y
0.101 0.899 0.250 Y
```

Record 3
## CePr5Er4 (PBE)

Data for an optimized crystal structure of CePr5Er4.

Summary:
Raw total energy ... -0.3456 Ry/atom
Crystal system ... monoclinic
Fermi-level density of states ... 17.728 states/eV per cell

Structure (POSCAR):
```
CePr5Er4
1.0
-2.245 -2.508 -1.039
8.293 -5.378 -4.938
4.545 -4.360 6.676
Ce Pr Er
1 5 4
direct
0.500 0.000 0.000 Ce
0.795 0.603 0.591 Pr
0.896 0.281 0.793 Pr
0.104 0.719 0.207 Pr
0.500 0.500 0.000 Pr
0.205 0.397 0.409 Pr
0.305 0.079 0.609 Er
0.906 0.816 0.811 Er
0.695 0.921 0.391 Er
0.094 0.184 0.189 Er
```

Record 4
## CsSbH2 (PBE)

Data for an optimized crystal structure of CsSbH2.

Summary:
Polymorph energy (0 for the lowest one) ... 134 meV per atom
Crystal system ... orthorhombic
Fermi-level density of states ... 2.524 states/eV per cell

Structure (POSCAR):
```
CsSbH2
1.0
-0.152 3.083 -1.986
-4.142 1.619 2.831
3.193 2.314 3.347
Cs Sb H
1 1 2
direct
0.000 0.500 0.000 Cs
0.500 0.000 0.500 Sb
0.500 0.000 0.914 H
0.500 0.000 0.086 H
```

Record 5
## LaTb2Sn (PBE)

Data for an optimized crystal structure of LaTb2Sn.

Summary:
Polymorph energy (0 for the lowest one) ... 481 meV per atom
Crystal system ... trigonal
Fermi-level density of states ... 3.275 states/eV per cell

Structure (POSCAR):
```
LaTb2Sn
1.0
-2.519 2.452 0.547
-2.880 0.087 -2.086
-7.498 -6.694 7.042
Tb Sn La
2 1 1
direct
0.086 0.086 0.742 Tb
0.914 0.914 0.258 Tb
0.000 0.000 0.000 Sn
0.500 0.500 0.500 La
```

Record 6
## La15Tb4Pr (PBE)

Data for an optimized crystal structure of La15Tb4Pr.

Summary:
Raw total energy ... -0.3565 Ry/atom
Crystal system ... tetragonal
Fermi-level density of states ... 31.667 states/eV per cell

Structure (POSCAR):
```
La15Tb4Pr
1.0
-0.677 -4.810 -1.918
3.823 0.841 -3.458
17.502 -9.278 17.091
La Tb Pr
15 4 1
direct
0.500 0.500 0.000 La
0.500 0.500 0.202 La
0.500 0.500 0.400 La
0.500 0.500 0.600 La
0.500 0.500 0.798 La
0.500 0.000 0.102 La
0.500 0.000 0.301 La
0.500 0.000 0.500 La
0.500 0.000 0.699 La
0.500 0.000 0.898 La
0.000 0.500 0.102 La
0.000 0.500 0.301 La
0.000 0.500 0.500 La
0.000 0.500 0.699 La
0.000 0.500 0.898 La
0.000 0.000 0.201 Tb
0.000 0.000 0.400 Tb
0.000 0.000 0.600 Tb
0.000 0.000 0.799 Tb
0.000 0.000 0.000 Pr
```

Record 7
## Te3Pb4 (PBE)

Data for an optimized crystal structure of Te3Pb4.

Summary:
Polymorph energy (0 for the lowest one) ... 0 meV per atom
Crystal system ... trigonal
Fermi-level density of states ... 3.391 states/eV per cell
E_form (uncorrected) ... -0.16 eV/atom

Structure (POSCAR):
```
Te3Pb4
1.0
5.492 0.000 0.000
2.746 4.756 0.000
2.746 1.585 9.457
Te Pb
3 4
direct
0.767 0.767 0.700 Te
0.233 0.233 0.300 Te
0.000 0.000 0.000 Te
0.370 0.370 0.890 Pb
0.116 0.116 0.651 Pb
0.884 0.884 0.349 Pb
0.630 0.630 0.110 Pb
```

Record 8
## LiPbW2 (PBE)

Data for an optimized crystal structure of LiPbW2.

Summary:
Raw total energy ... -0.5270 Ry/atom
Crystal system ... monoclinic
Fermi-level density of states ... 3.105 states/eV per cell

Structure (POSCAR):
```
LiPbW2
1.0
-0.455 3.755 2.626
-4.994 -2.882 -0.798
-0.304 -1.776 2.454
Li Pb W
1 1 2
direct
0.000 0.500 0.500 Li
0.500 0.500 0.000 Pb
0.000 0.000 0.000 W
0.500 0.000 0.500 W
```

Record 9
## MgCuTe2 (PBE)

Data for an optimized crystal structure of MgCuTe2.

Summary:
Polymorph energy (0 for the lowest one) ... 267 meV per atom
Crystal system ... orthorhombic
Fermi-level density of states ... 1.913 states/eV per cell
E_form (uncorrected) ... -0.08 eV/atom

Structure (POSCAR):
```
MgCuTe2
1.0
5.467 -0.047 0.032
0.590 5.436 -0.032
-2.025 -3.822 3.345
Cu Mg Te
1 1 2
direct
0.750 0.250 0.500 Cu
0.250 0.750 0.500 Mg
0.962 0.962 0.000 Te
0.538 0.538 0.000 Te
```

Record 10
## Gd3CdFe (PBE)

Data for an optimized crystal structure of Gd3CdFe.

Summary:
Raw total energy ... -0.7602 Ry/atom
Crystal system ... cubic
Fermi-level density of states ... 5.024 states/eV per cell

Structure (POSCAR):
```
Gd3CdFe
1.0
-1.022 3.496 -3.687
-4.306 -2.592 -1.264
-2.697 2.813 3.416
Gd Fe Cd
3 1 1
direct
0.000 0.500 0.000 Gd
0.000 0.000 0.500 Gd
0.500 0.000 0.000 Gd
0.000 0.000 0.000 Fe
0.500 0.500 0.500 Cd
```

Record 11
## PmHoErSn (PBE)

Data for an optimized crystal structure of PmHoErSn.

Summary:
Raw total energy ... -0.3435 Ry/atom
Crystal system ... cubic
Fermi-level density of states ... 6.787 states/eV per cell

Structure (POSCAR):
```
PmHoErSn
1.0
-2.223 -3.587 -3.394
3.161 -3.053 -3.164
0.485 -5.306 0.970
Pm Ho Sn Er
1 1 1 1
direct
0.750 0.750 0.750 Pm
0.000 0.000 0.000 Ho
0.250 0.250 0.250 Sn
0.500 0.500 0.500 Er
```

Record 12
## CaCu8Pd3 (PBE)

Data for an optimized crystal structure of CaCu8Pd3.

Summary:
Raw total energy ... -0.3184 Ry/atom
Crystal system ... trigonal
Fermi-level density of states ... 5.895 states/eV per cell

Structure (POSCAR):
```
CaCu8Pd3
1.0
-4.098 -2.049 1.803
1.027 -0.363 -4.802
3.997 -6.789 1.368
Ca Cu Pd
1 8 3
direct
0.000 0.000 0.565 Ca
0.333 0.667 0.498 Cu
0.333 0.667 0.998 Cu
0.503 0.007 0.759 Cu
0.503 0.497 0.759 Cu
0.993 0.497 0.759 Cu
0.165 0.330 0.241 Cu
0.165 0.835 0.241 Cu
0.670 0.835 0.241 Cu
0.667 0.333 0.427 Pd
0.667 0.333 0.064 Pd
0.000 0.000 0.947 Pd
```

Record 13
## AcHoPu4 (PBE)

Data for an optimized crystal structure of AcHoPu4.

Summary:
Raw total energy ... -0.7903 Ry/atom
Crystal system ... cubic
Fermi-level density of states ... 29.201 states/eV per cell

Structure (POSCAR):
```
AcHoPu4
1.0
6.313 0.000 0.000
3.157 5.467 0.000
3.157 1.822 5.155
Ac Ho Pu
1 1 4
direct
0.250 0.250 0.250 Ac
0.000 0.000 0.000 Ho
0.625 0.625 0.124 Pu
0.625 0.124 0.625 Pu
0.625 0.625 0.625 Pu
0.124 0.625 0.625 Pu
```

Record 14
## Li5Pb (PBE)

Data for an optimized crystal structure of Li5Pb.

Summary:
Polymorph energy (0 for the lowest one) ... 192 meV per atom
Crystal system ... hexagonal
Fermi-level density of states ... 1.929 states/eV per cell

Structure (POSCAR):
```
Li5Pb
1.0
1.644 4.782 -1.606
-2.167 -3.367 -3.481
-4.382 1.828 0.959
Li Pb
5 1
direct
0.333 0.667 0.000 Li
0.667 0.333 0.000 Li
0.500 0.000 0.500 Li
0.000 0.500 0.500 Li
0.500 0.500 0.500 Li
0.000 0.000 0.000 Pb
```

Record 15
## LiCeGdCo (PBE)

Data for an optimized crystal structure of LiCeGdCo.

Summary:
Raw total energy ... -0.5307 Ry/atom
Crystal system ... cubic
Fermi-level density of states ... 5.799 states/eV per cell

Structure (POSCAR):
```
LiCeGdCo
1.0
4.901 0.000 0.000
2.451 4.245 0.000
2.451 1.415 4.002
Gd Co Ce Li
1 1 1 1
direct
0.750 0.750 0.750 Gd
0.500 0.500 0.500 Co
0.250 0.250 0.250 Ce
0.000 0.000 0.000 Li
```

Record 16
## Ga2IrPd2 (PBE)

Data for an optimized crystal structure of Ga2IrPd2.

Summary:
Polymorph energy (0 for the lowest one) ... 226 meV per atom
Crystal system ... tetragonal
Fermi-level density of states ... 6.683 states/eV per cell

Structure (POSCAR):
```
Ga2IrPd2
1.0
7.357 0.000 0.000
0.000 7.357 0.000
0.000 0.000 2.809
Ir Ga Pd
2 4 4
direct
0.000 0.000 0.000 Ir
0.500 0.500 0.000 Ir
0.168 0.668 0.500 Ga
0.668 0.832 0.500 Ga
0.832 0.332 0.500 Ga
0.332 0.168 0.500 Ga
0.367 0.867 0.000 Pd
0.867 0.633 0.000 Pd
0.633 0.133 0.000 Pd
0.133 0.367 0.000 Pd
```

Record 17
## LaDyTcO6 (PBE)

Data for an optimized crystal structure of LaDyTcO6.

Summary:
Crystal system ... trigonal
Fermi-level density of states ... 5.112 states/eV per cell
E_form (uncorrected) ... -2.52 eV/atom

Structure (POSCAR):
```
LaDyTcO6
1.0
5.528 0.000 0.000
2.764 4.787 0.000
0.000 0.000 5.085
La Dy Tc O
1 1 1 6
direct
0.000 0.000 0.000 La
0.667 0.667 0.500 Dy
0.333 0.333 0.500 Tc
0.041 0.336 0.283 O
0.336 0.041 0.717 O
0.622 0.336 0.717 O
0.041 0.622 0.717 O
0.336 0.622 0.283 O
0.622 0.041 0.283 O
```

Record 18
## TbNd3Er2Se6 (PBE)

Data for an optimized crystal structure of TbNd3Er2Se6.

Summary:
Crystal system ... monoclinic
Fermi-level density of states ... 5.641 states/eV per cell
E_form (uncorrected) ... -1.79 eV/atom

Structure (POSCAR):
```
TbNd3Er2Se6
1.0
-6.089 -0.389 3.657
4.949 -5.058 0.728
3.262 5.389 3.701
Tb Nd Er Se
1 3 2 6
direct
0.000 0.000 0.000 Tb
0.164 0.836 0.500 Nd
0.836 0.164 0.500 Nd
0.500 0.500 0.500 Nd
0.334 0.666 0.000 Er
0.666 0.334 0.000 Er
0.922 0.585 0.766 Se
0.740 0.740 0.233 Se
0.078 0.415 0.234 Se
0.585 0.922 0.766 Se
0.260 0.260 0.767 Se
0.415 0.078 0.234 Se
```

Record 19
## KSb4Pb6 (PBE)

Data for an optimized crystal structure of KSb4Pb6.

Summary:
Polymorph energy (0 for the lowest one) ... 29 meV per atom
Crystal system ... monoclinic
Fermi-level density of states ... 3.376 states/eV per cell
E_form (uncorrected) ... -0.02 eV/atom

Structure (POSCAR):
```
KSb4Pb6
1.0
6.694 -0.007 -2.508
-0.932 6.629 -2.508
-0.429 -0.493 9.111
K Sb Pb
1 4 6
direct
0.000 0.000 0.000 K
0.879 0.402 0.280 Sb
0.598 0.598 0.718 Sb
0.402 0.879 0.280 Sb
0.122 0.122 0.720 Sb
0.140 0.535 0.675 Pb
0.535 0.140 0.675 Pb
0.860 0.860 0.325 Pb
0.999 0.500 0.000 Pb
0.465 0.465 0.324 Pb
0.500 0.999 0.000 Pb
```

Record 20
## NaZr2RhO (PBE)

Data for an optimized crystal structure of NaZr2RhO.

Summary:
Crystal system ... tetragonal
Fermi-level density of states ... 3.307 states/eV per cell
E_form (uncorrected) ... -0.97 eV/atom

Structure (POSCAR):
```
NaZr2RhO
1.0
-1.976 2.955 -2.671
-0.881 -3.232 -2.924
-3.662 -0.726 1.905
Na Rh O Zr
1 1 1 2
direct
0.000 0.000 0.500 Na
0.500 0.500 0.500 Rh
0.000 0.000 0.000 O
0.000 0.500 0.000 Zr
0.500 0.000 0.000 Zr
```

| no. | theoretical density (g cm⁻³) |
| --- | --- |
| 1 | 7.34 |
| 2 | 6.42 |
| 3 | 7.48 |
| 4 | 4.26 |
| 5 | 7.21 |
| 6 | 6.66 |
| 7 | 8.14 |
| 8 | 13.46 |
| 9 | 5.75 |
| 10 | 7.63 |
| 11 | 8.81 |
| 12 | 8.58 |
| 13 | 12.77 |
| 14 | 3.40 |
| 15 | 7.24 |
| 16 | 11.89 |
| 17 | 6.11 |
| 18 | 7.70 |
| 19 | 7.58 |
| 20 | 6.50 |